TaBiOs2Cl: relaxed, GGA-PBE.

a b c (Å): 4.8274 5.6744 4.8274
angles (deg): 90.00 90.00 90.00
Each line ends with the local moment (μB).
Fractional positions:
Cl (0.5000, 0.5000, 0.5000)  0.09
Os (0.0000, 0.0000, 0.5000)  1.10
Os (0.5000, 0.0000, 0.0000)  1.09
Bi (0.0000, 0.5000, 0.0000)  -0.01
Ta (0.0000, 0.0000, 0.0000)  -0.12

Properties
Total magnetic moment ... 2.44 μB per formula unit
Electronic total energy ... -6.2541 eV per atom
ΔE_f (raw) ... 1.754 eV/atom
Calculated volume ... 132.23 Å³ per cell